18
Lattice="5.930 -0.528 -0.414 1.116 5.848 -0.414 1.453 1.097 9.437" Properties=species:S:1:pos:R:3 comment="GGA-PBE Ga5CuPt3, optimized geometry" final_energy_ev_per_atom=-4.47 n_ef_per_ev_cell=6.39 crystal_system=monoclinic formation_enthalpy_0k_ev_per_atom=-0.323 pbc="T T T"
Pt 2.876 2.171 5.466
Ga 6.869 2.089 2.819
Ga 4.826 3.644 5.710
Pt 0.726 0.549 4.719
Pt 2.278 1.720 1.031
Ga 3.890 6.034 2.819
Ga 5.442 4.109 0.614
Pt 0.000 0.000 0.000
Cu 1.120 0.846 7.073
Ga 1.630 4.328 5.790
Ga 3.057 2.308 7.995
Ga 2.622 3.854 -0.414
Pt 6.221 4.698 7.578
Ga 4.425 1.466 -0.414
Pt 5.623 4.246 3.143
Ga 3.673 2.773 2.900
Cu 7.379 5.572 1.537
Ga 4.609 0.383 5.790

9
Lattice="4.131 0.000 -0.153 0.000 5.844 0.000 -1.819 -2.922 6.226" Properties=species:S:1:pos:R:3 comment="GGA-PBE GaCu2Pt6, optimized geometry" final_energy_ev_per_atom=-5.30 n_ef_per_ev_cell=8.73 crystal_system=monoclinic formation_enthalpy_0k_ev_per_atom=-0.021 pbc="T T T"
Pt 0.084 1.470 2.056
Cu 0.163 0.000 4.098
Pt 0.084 4.374 2.056
Cu 2.149 2.922 1.975
Pt 2.066 4.383 -0.076
Pt 2.228 -1.452 4.018
Pt 2.066 1.462 -0.076
Pt 2.228 1.452 4.018
Ga 0.000 0.000 0.000

16
Lattice="5.552 -0.328 0.000 -2.478 4.980 0.000 0.000 0.000 9.236" Properties=species:S:1:pos:R:3 comment="GGA-PBE GaCuPt14, optimized geometry" final_energy_ev_per_atom=-5.84 n_ef_per_ev_cell=24.43 crystal_system=orthorhombic formation_enthalpy_0k_ev_per_atom=-0.111 pbc="T T T"
Pt 0.421 1.394 0.000
Pt 3.294 2.834 2.407
Pt 3.192 1.232 0.000
Pt 1.957 3.718 0.000
Pt 3.294 2.834 6.829
Pt 4.554 0.332 6.894
Pt -0.860 2.241 4.618
Pt 0.676 4.565 4.618
Pt -0.829 3.890 0.000
Cu -2.129 4.749 4.618
Ga 1.904 2.084 4.618
Pt 0.528 2.993 6.900
Pt 1.758 0.511 6.829
Pt 0.528 2.993 2.335
Pt 4.554 0.332 2.341
Pt 1.758 0.511 2.407

5
Lattice="4.432 -0.334 -0.889 -2.835 3.523 -0.304 0.101 -0.446 4.871" Properties=species:S:1:pos:R:3 comment="GGA-PBE Ga2Cu2Pt, optimized geometry" de_polymorph_mev_per_atom=0 final_energy_ev_per_atom=-4.36 n_ef_per_ev_cell=1.47 crystal_system=monoclinic formation_enthalpy_0k_ev_per_atom=-0.299 pbc="T T T"
Cu 1.273 0.290 2.478
Ga 2.402 1.090 0.201
Ga -0.704 1.653 3.478
Pt 0.000 0.000 0.000
Cu 0.425 2.453 1.200

11
Lattice="5.770 -0.003 -0.075 0.003 5.768 0.002 -0.435 -0.002 5.754" Properties=species:S:1:pos:R:3 comment="GGA-PBE Ga2Cu2Pt7, optimized geometry" final_energy_ev_per_atom=-5.06 n_ef_per_ev_cell=11.27 crystal_system=orthorhombic formation_enthalpy_0k_ev_per_atom=0.076 pbc="T T T"
Ga 4.230 2.880 4.502
Pt 2.889 4.266 -0.036
Pt 2.449 1.497 5.716
Ga 1.107 2.883 1.178
Cu 1.313 5.764 4.117
Cu 4.025 -0.001 1.564
Pt 0.000 0.000 0.000
Pt 5.554 4.264 2.801
Pt 2.670 4.192 2.840
Pt 2.668 1.571 2.840
Pt -0.216 1.499 2.880

6
Lattice="-1.492 -3.297 2.129 -1.131 -3.481 -2.059 4.764 -1.883 0.494" Properties=species:S:1:pos:R:3 comment="GGA-PBE GaCu4Pt, optimized geometry" de_polymorph_mev_per_atom=0 final_energy_ev_per_atom=-4.40 n_ef_per_ev_cell=1.42 crystal_system=monoclinic formation_enthalpy_0k_ev_per_atom=-0.158 pbc="T T T"
Cu 2.048 -6.028 0.440
Cu -0.324 -5.071 0.194
Ga 2.382 -0.942 0.247
Cu 2.464 -3.590 0.370
Cu 0.093 -2.633 0.123
Pt 0.000 0.000 0.000

8
Lattice="-3.510 -0.868 1.539 -1.474 -0.450 -3.615 1.943 -7.583 0.152" Properties=species:S:1:pos:R:3 comment="GGA-PBE GaCuPt6, optimized geometry" de_polymorph_mev_per_atom=0 final_energy_ev_per_atom=-5.68 n_ef_per_ev_cell=8.78 crystal_system=tetragonal formation_enthalpy_0k_ev_per_atom=-0.259 pbc="T T T"
Pt -1.266 -2.342 0.808
Pt -1.520 -4.451 -0.962
Pt -0.248 -2.133 -1.769
Cu 0.971 -3.792 0.076
Pt -0.301 -6.110 0.883
Pt -2.492 -0.659 -1.038
Pt 0.717 -5.901 -1.694
Ga 0.000 0.000 0.000

12
Lattice="0.334 3.971 -0.096 2.348 -0.358 -6.678 -6.952 -1.383 1.391" Properties=species:S:1:pos:R:3 comment="GGA-PBE GaCu5Pt6, optimized geometry" final_energy_ev_per_atom=-5.25 n_ef_per_ev_cell=8.60 crystal_system=orthorhombic formation_enthalpy_0k_ev_per_atom=-0.270 pbc="T T T"
Pt -2.982 2.178 -3.071
Cu -1.778 2.132 -0.740
Cu -2.491 0.098 -4.643
Cu -0.503 1.946 -4.043
Cu -3.766 0.284 -1.340
Ga 0.000 0.000 0.000
Pt -0.098 -0.129 -5.694
Pt -1.287 0.053 -2.312
Cu 1.174 -0.179 -3.339
Pt 1.943 1.715 -5.097
Pt -4.172 2.359 0.311
Pt 0.740 1.898 -1.676

4
Lattice="-1.221 -4.018 1.202 -4.052 -1.395 -0.843 -0.665 -3.078 -3.027" Properties=species:S:1:pos:R:3 comment="GGA-PBE Ga2CuPt, optimized geometry" de_polymorph_mev_per_atom=44 final_energy_ev_per_atom=-4.35 n_ef_per_ev_cell=1.18 crystal_system=cubic formation_enthalpy_0k_ev_per_atom=-0.304 pbc="T T T"
Ga -1.484 -2.123 -0.667
Cu 0.000 0.000 0.000
Ga -4.453 -6.368 -2.001
Pt -2.969 -4.245 -1.334

4
Lattice="-0.017 -3.265 2.517 3.405 -2.282 0.438 2.453 0.782 4.407" Properties=species:S:1:pos:R:3 comment="GGA-PBE Ga2CuPt, optimized geometry" de_polymorph_mev_per_atom=34 final_energy_ev_per_atom=-4.36 n_ef_per_ev_cell=1.22 crystal_system=trigonal formation_enthalpy_0k_ev_per_atom=-0.315 pbc="T T T"
Pt 4.670 -2.999 6.268
Ga 2.158 0.195 3.643
Ga 1.396 -1.320 1.674
Cu 2.992 -2.241 3.865

10
Lattice="4.008 0.000 -1.111 -0.789 5.111 -2.845 -0.191 0.626 7.093" Properties=species:S:1:pos:R:3 comment="GGA-PBE GaCu5Pt4, optimized geometry" final_energy_ev_per_atom=-4.88 n_ef_per_ev_cell=3.46 crystal_system=monoclinic formation_enthalpy_0k_ev_per_atom=-0.112 pbc="T T T"
Cu 0.058 3.826 0.211
Cu 2.465 4.823 1.107
Pt 0.726 3.411 2.617
Pt 2.302 2.327 0.520
Cu 2.969 1.911 2.926
Pt 3.189 4.423 3.717
Cu 0.563 0.915 2.030
Ga 2.004 0.000 -0.556
Cu 1.610 2.556 -1.978
Pt -0.161 1.315 -0.580

4
Lattice="-2.431 -1.562 -0.395 -0.866 -0.693 -2.697 3.698 -8.322 -0.627" Properties=species:S:1:pos:R:3 comment="GGA-PBE Ga2CuPt, optimized geometry" de_polymorph_mev_per_atom=253 final_energy_ev_per_atom=-4.14 n_ef_per_ev_cell=1.40 crystal_system=trigonal formation_enthalpy_0k_ev_per_atom=-0.096 pbc="T T T"
Pt 0.201 -5.288 -1.860
Ga -2.013 -4.281 -2.984
Cu 0.000 0.000 0.000
Ga 2.414 -6.295 -0.735